(1)
Density functional theory data (PBEsol) for a relaxed structure of MgSc3.

Cell lengths 5.586, 6.353, 10.521 Å; angles 90.00, 90.00, 90.00 degrees
Element x y z (fractional)
Sc (0.255, 0.120, 0.010)
Sc (0.586, 0.624, 0.750)
Sc (0.086, 0.876, 0.750)
Sc (0.745, 0.880, 0.510)
Sc (0.255, 0.120, 0.490)
Sc (0.755, 0.380, 0.010)
Sc (0.414, 0.376, 0.250)
Sc (0.755, 0.380, 0.490)
Sc (0.745, 0.880, 0.990)
Sc (0.914, 0.124, 0.250)
Sc (0.245, 0.620, 0.990)
Sc (0.245, 0.620, 0.510)
Mg (0.916, 0.625, 0.250)
Mg (0.416, 0.875, 0.250)
Mg (0.084, 0.375, 0.750)
Mg (0.584, 0.125, 0.750)

Summary:
Total magnetic moment ... 0.001 μB/f.u.
Excess energy over the best structure of this formula in the dataset ... 55 meV per atom
Theoretical density ... 2.8 g/cm³
VASP energy ... -0.19605 Ha/atom
Space group ... Pnma, No. 62

(2)
Density functional theory data (PBEsol) for a relaxed structure of Cd2TcHg.

Cell lengths 4.673, 4.673, 4.673 Å; angles 60.00, 60.00, 60.00 degrees
Each line ends with the local moment (μB).
Element x y z (fractional)
Cd (0.750, 0.750, 0.750)  0.00
Cd (0.000, 0.000, 0.000)  0.00
Hg (0.500, 0.500, 0.500)  0.00
Tc (0.250, 0.250, 0.250)  0.21

Summary:
Total magnetic moment ... 0.225 μB/f.u.
Theoretical density ... 12.0 g/cm³
VASP energy ... -0.11159 Ha/atom
Space group ... F-43m, No. 216

(3)
Density functional theory data (PBEsol) for a relaxed structure of NiIrPt.

Cell lengths 2.696, 2.696, 5.768 Å; angles 103.51, 103.51, 90.00 degrees
Element x y z (fractional)
Ir (0.009, 0.009, 0.019)
Ni (0.663, 0.663, 0.326)
Pt (0.328, 0.328, 0.656)

Summary:
Total magnetic moment ... 0.008 μB/f.u.
Excess energy over the best structure of this formula in the dataset ... 3 meV per atom
Theoretical density ... 18.7 g/cm³
VASP energy ... -0.28000 Ha/atom
Space group ... I4mm, No. 107

(4)
Density functional theory data (PBEsol) for a relaxed structure of ZnPtRh2.

Cell lengths 3.830, 3.830, 4.617 Å; angles 114.51, 114.51, 90.00 degrees
Element x y z (fractional)
Zn (0.500, 0.500, 0.000)
Rh (0.250, 0.750, 0.500)
Rh (0.750, 0.250, 0.500)
Pt (0.000, 0.000, 0.000)

Summary:
Total magnetic moment ... 0.000 μB/f.u.
Theoretical density ... 14.1 g/cm³
VASP energy ... -0.23522 Ha/atom
Space group ... I4/mmm, No. 139

Number 1: energy of formation from the pure elements 0.05 eV per atom. Number 2: energy of formation from the pure elements 0.52 eV per atom. Number 3: energy of formation from the pure elements 0.03 eV per atom. Number 4: energy of formation from the pure elements -0.20 eV per atom.